Crystalline UInHgAu at its relaxed geometry. Source: the Alexandria database, functional PBE.

Values from the calculation:
DOS at the Fermi energy: 2.43 states/eV per atom
Volume: 23.1 Å³ per atom
Total energy: -4.441 eV per atom
Formation energy from the elements: -15 kJ/mol of formula units

Lattice parameters (Å, degrees): 5.073 5.073 5.073 60.00 60.00 60.00
Fractional positions:
1 U 0.000 0.000 0.000
2 In 0.500 0.500 0.500
3 Hg 0.250 0.250 0.250
4 Au 0.750 0.750 0.750



Crystalline Cs2Pm2HfS6 at its relaxed geometry. Source: the Alexandria database, functional PBE.

Values from the calculation:
DOS at the Fermi energy: 0.00 states/eV per atom
Volume: 31.5 Å³ per atom
Total energy: -5.954 eV per atom

Lattice parameters (Å, degrees): 6.952 6.952 8.593 98.10 98.10 119.51
Fractional positions:
1 Cs 0.170 0.830 0.000
2 Cs 0.830 0.170 0.000
3 Pm 0.333 0.667 0.500
4 Pm 0.667 0.333 0.500
5 Hf 0.000 0.000 0.500
6 S 0.061 0.369 0.678
7 S 0.244 0.244 0.323
8 S 0.369 0.061 0.678
9 S 0.631 0.939 0.322
10 S 0.756 0.756 0.677
11 S 0.939 0.631 0.322



What is the volume in the first record?
23.1 Å³ per atom



Which of these has the highest total energy?
UInHgAu